Version one
The following is a SCAN calculation of a PBEsol-optimized structure of KIn2Fe, from the Alexandria database.

- size of the total moment (μB/atom) = 0.715
- space-group type = P4/mmm (123)
- density (g/cm³) = 5.67

Cell: 4.6333 4.6333 4.4285 Å, 90.00 90.00 90.00°
With the nearest neighbours (Å) after each atom.
Positions (direct):
K  0.0000  0.0000  0.0000  8 In 3.20, 4 Fe 3.28
In  0.0000  0.5000  0.5000  4 Fe 3.20, 4 K 3.20, 4 In 3.28
In  0.5000  0.0000  0.5000  4 Fe 3.20, 4 K 3.20, 4 In 3.28
Fe  0.5000  0.5000  0.0000  8 In 3.20, 4 K 3.28



Version two
The following is a SCAN calculation of a PBEsol-optimized structure of KIn2Fe, from the Alexandria database.

- size of the total moment (μB/atom) = 0.666
- space-group type = Pmmm (47)
- density (g/cm³) = 5.91

Cell: 3.0290 3.4848 8.6336 Å, 90.00 90.00 90.00°
With the nearest neighbours (Å) after each atom.
Positions (direct):
K  0.0000  0.0000  0.0000  2 K 3.03
In  0.5000  0.5000  0.3201  4 Fe 2.78, 3 In 3.03-3.11
In  0.5000  0.5000  0.6799  4 Fe 2.78, 3 In 3.03-3.11
Fe  0.0000  0.0000  0.5000  8 In 2.78, 2 Fe 3.03



Version three
The following is a SCAN calculation of a PBEsol-optimized structure of KIn2Fe, from the Alexandria database.

- size of the total moment (μB/atom) = 0.844
- space-group type = F-43m (216)
- density (g/cm³) = 5.81

Cell: 5.0809 5.0809 5.0809 Å, 60.00 60.00 60.00°
With the nearest neighbours (Å) after each atom.
Positions (direct):
K  0.0000  0.0000  0.0000  4 In 3.11, 4 Fe 3.11
In  0.5000  0.5000  0.5000  4 In 3.11, 4 Fe 3.11
In  0.7500  0.7500  0.7500  4 In 3.11, 4 K 3.11
Fe  0.2500  0.2500  0.2500  4 In 3.11, 4 K 3.11



How do the energies compare? Relative to the most stable structure, in kJ/mol of atoms: version one 38.6; version two 0.0; version three 37.7.



Version one
The following is a SCAN calculation of a PBEsol-optimized structure of In2FePb, from the Alexandria database.

- size of the total moment (μB/atom) = 0.831
- space-group type = I4/mmm (139)
- density (g/cm³) = 9.45

Cell: 5.5948 5.5948 5.5948 Å, 134.90 134.90 65.69°
With the nearest neighbours (Å) after each atom.
Positions (direct):
In  0.2500  0.7500  0.5000  4 In 3.03, 4 Fe 3.18, 4 Pb 3.18
In  0.7500  0.2500  0.5000  4 In 3.03, 4 Fe 3.18, 4 Pb 3.18
Fe  0.0000  0.0000  0.0000  4 Pb 3.03, 8 In 3.18
Pb  0.5000  0.5000  0.0000  4 Fe 3.03, 8 In 3.18



Version two
The following is a SCAN calculation of a PBEsol-optimized structure of In2FePb, from the Alexandria database.

- size of the total moment (μB/atom) = 0.677
- space-group type = Fm-3m (225)
- density (g/cm³) = 9.10

Cell: 5.0282 5.0282 5.0282 Å, 60.00 60.00 60.00°
With the nearest neighbours (Å) after each atom.
Positions (direct):
In  0.2500  0.2500  0.2500  4 Pb 3.08, 4 Fe 3.08
In  0.7500  0.7500  0.7500  4 Pb 3.08, 4 Fe 3.08
Fe  0.0000  0.0000  0.0000  8 In 3.08
Pb  0.5000  0.5000  0.5000  8 In 3.08



How do the energies compare? Relative to the most stable structure, in kJ/mol of atoms: version one 0.0; version two 7.8.



Version one
The following is a SCAN calculation of a PBEsol-optimized structure of InFe3S, from the Alexandria database.

- size of the total moment (μB/atom) = 1.196
- space-group type = Pm-3m (221)
- density (g/cm³) = 7.48

Cell: 4.1165 4.1165 4.1165 Å, 90.00 90.00 90.00°
With the nearest neighbours (Å) after each atom.
Positions (direct):
In  0.0000  0.0000  0.0000  12 Fe 2.91
Fe  0.0000  0.5000  0.5000  2 S 2.06
Fe  0.5000  0.0000  0.5000  2 S 2.06
Fe  0.5000  0.5000  0.0000  2 S 2.06
S  0.5000  0.5000  0.5000  6 Fe 2.06



Version two
The following is a SCAN calculation of a PBEsol-optimized structure of InFe3S, from the Alexandria database.

- size of the total moment (μB/atom) = 1.913
- space-group type = Pm-3m (221)
- density (g/cm³) = 4.99

Cell: 4.7124 4.7124 4.7124 Å, 90.00 90.00 90.00°
With the nearest neighbours (Å) after each atom.
Positions (direct):
In  0.0000  0.0000  0.0000  6 Fe 2.36
Fe  0.0000  0.0000  0.5000  2 In 2.36
Fe  0.0000  0.5000  0.0000  2 In 2.36
Fe  0.5000  0.0000  0.0000  2 In 2.36
S  0.5000  0.5000  0.5000  12 Fe 3.33



How do the energies compare? Relative to the most stable structure, in kJ/mol of atoms: version one 0.0; version two 137.4.



Version one
The following is a SCAN calculation of a PBEsol-optimized structure of InFeTe, from the Alexandria database.

- size of the total moment (μB/atom) = 0.993
- space-group type = F-43m (216)
- density (g/cm³) = 6.54

Cell: 4.7484 4.7484 4.7484 Å, 60.00 60.00 60.00°
With the nearest neighbours (Å) after each atom.
Positions (direct):
In  0.0000  0.0000  0.0000  4 Te 2.91
Fe  0.5000  0.5000  0.5000  4 Te 2.91
Te  0.2500  0.2500  0.2500  4 In 2.91, 4 Fe 2.91



Version two
The following is a SCAN calculation of a PBEsol-optimized structure of InFeTe, from the Alexandria database.

- size of the total moment (μB/atom) = 0.983
- space-group type = P3m1 (156)
- density (g/cm³) = 7.40

Cell: 4.3805 4.3805 4.0285 Å, 90.00 90.00 120.00°
With the nearest neighbours (Å) after each atom.
Positions (direct):
In  0.0000  0.0000  0.0000  6 Fe 3.22-3.24, 6 Te 3.23
Fe  0.6667  0.3333  0.5041  3 Te 2.53
Te  0.3333  0.6667  0.4999  3 Fe 2.53



How do the energies compare? Relative to the most stable structure, in kJ/mol of atoms: version one 27.1; version two 0.0.



Version one
The following is a SCAN calculation of a PBEsol-optimized structure of TlInFe2, from the Alexandria database.

- size of the total moment (μB/atom) = 1.265
- space-group type = Cmmm (65)
- density (g/cm³) = 11.31

Cell: 4.4713 4.4713 3.1630 Å, 90.00 90.00 90.17°
With the nearest neighbours (Å) after each atom.
Positions (direct):
Tl  0.0000  0.0000  0.0000  8 Fe 2.74
In  0.5000  0.5000  0.0000  8 Fe 2.74
Fe  0.0000  0.5000  0.5000  4 Tl 2.74, 4 In 2.74
Fe  0.5000  0.0000  0.5000  4 Tl 2.74, 4 In 2.74



Version two
The following is a SCAN calculation of a PBEsol-optimized structure of TlInFe2, from the Alexandria database.

- size of the total moment (μB/atom) = 1.265
- space-group type = Pm (6)
- density (g/cm³) = 10.63

Cell: 3.3686 3.9743 5.2950 Å, 90.00 108.22 90.00°
With the nearest neighbours (Å) after each atom.
Positions (direct):
Tl  0.0000  0.0000  0.0000  7 Fe 2.76-2.80
In  0.3025  0.5000  0.6138  7 Fe 2.73-2.88
Fe  0.5934  0.5000  0.1860  2 Fe 2.37
Fe  0.7164  0.0000  0.4423  2 Fe 2.37



How do the energies compare? Relative to the most stable structure, in kJ/mol of atoms: version one 11.0; version two 0.0.



Version one
The following is a SCAN calculation of a PBEsol-optimized structure of In2FeW, from the Alexandria database.

- size of the total moment (μB/atom) = 0.372
- space-group type = F-43m (216)
- density (g/cm³) = 11.65

Cell: 4.5569 4.5569 4.5569 Å, 60.00 60.00 60.00°
With the nearest neighbours (Å) after each atom.
Positions (direct):
In  0.0000  0.0000  0.0000  4 Fe 2.79, 4 In 2.79
In  0.2500  0.2500  0.2500  4 W 2.79, 4 In 2.79
Fe  0.7500  0.7500  0.7500  4 In 2.79, 4 W 2.79
W  0.5000  0.5000  0.5000  4 Fe 2.79, 4 In 2.79



Version two
The following is a SCAN calculation of a PBEsol-optimized structure of In2FeW, from the Alexandria database.

- size of the total moment (μB/atom) = 0.317
- space-group type = P4mm (99)
- density (g/cm³) = 11.10

Cell: 2.9464 2.9464 8.0853 Å, 90.00 90.00 90.00°
With the nearest neighbours (Å) after each atom.
Positions (direct):
In  0.0000  0.0000  0.0000  4 Fe 2.78, 4 In 2.95
In  0.5000  0.5000  0.3443  4 In 2.95, 4 W 2.99
Fe  0.5000  0.5000  0.7717  4 W 2.46
W  0.0000  0.0000  0.6092  4 Fe 2.46



How do the energies compare? Relative to the most stable structure, in kJ/mol of atoms: version one 42.3; version two 0.0.



Version one
The following is a SCAN calculation of a PBEsol-optimized structure of K2FeIr, from the Alexandria database.

- size of the total moment (μB/atom) = 1.043
- space-group type = P4/mmm (123)
- density (g/cm³) = 5.56

Cell: 4.3177 4.3177 5.2297 Å, 90.00 90.00 90.00°
With the nearest neighbours (Å) after each atom.
Positions (direct):
K  0.0000  0.0000  0.2467  2 K 2.58-2.65
K  0.0000  0.0000  0.7533  2 K 2.58-2.65
Fe  0.5000  0.5000  0.5000  2 Ir 2.61
Ir  0.5000  0.5000  0.0000  2 Fe 2.61



Version two
The following is a SCAN calculation of a PBEsol-optimized structure of K2FeIr, from the Alexandria database.

- size of the total moment (μB/atom) = 0.459
- space-group type = P4/mmm (123)
- density (g/cm³) = 6.62

Cell: 2.7311 2.7311 10.9668 Å, 90.00 90.00 90.00°
With the nearest neighbours (Å) after each atom.
Positions (direct):
K  0.0000  0.0000  0.2365  4 K 2.73
K  0.0000  0.0000  0.7635  4 K 2.73
Fe  0.5000  0.5000  0.5000  4 Fe 2.73
Ir  0.5000  0.5000  0.0000  4 Ir 2.73



How do the energies compare? Relative to the most stable structure, in kJ/mol of atoms: version one 6.1; version two 0.0.